3
Lattice="-1.9487 0.3155 2.7175 -2.6102 -1.2135 -1.7309 3.7233 -5.0434 1.1798" Properties=species:S:1:pos:R:3 comment="GGA-PBE LuZrRe, optimized geometry" space_group=I4mm crystal_system=tetragonal n_ef_per_ev_atom=0.434 total_energy_ev_per_cell=-25.72 formation_enthalpy_0k_ev_per_fu=-0.2 pbc="T T T"
Re -1.7719 -2.3799 1.0815
Lu 0.0815 -0.3101 0.0945
Zr 0.8547 -3.2514 0.9904